1.
! DyHfAl3 (PBE, relaxed); values from VASP
&SYSTEM
  ibrav = 0, nat = 10, ntyp = 3
/
ATOMIC_SPECIES
Dy 162.50 Dy.upf
Hf 178.49 Hf.upf
Al 26.98 Al.upf
CELL_PARAMETERS angstrom
2.692 -7.784 0.000
2.692 7.784 0.000
0.000 0.000 5.086
ATOMIC_POSITIONS angstrom
Dy 2.692 4.672 3.815
Dy 2.692 -4.672 1.272
Hf 2.692 0.936 1.272
Hf 2.692 -0.936 3.815
Al 0.000 0.000 0.000
Al 0.000 0.000 2.543
Al 1.417 1.867 3.815
Al 1.417 -1.867 1.272
Al 3.967 1.867 3.815
Al 3.967 -1.867 1.272
! Calculated formation energy: -0.30 eV/atom
! Symmetry: Cmcm, No. 63



2.
! Pr5Ho (PBE, relaxed); values from VASP
&SYSTEM
  ibrav = 0, nat = 12, ntyp = 2
/
ATOMIC_SPECIES
Pr 140.91 Pr.upf
Ho 164.93 Ho.upf
CELL_PARAMETERS angstrom
5.218 0.000 0.000
0.000 11.033 0.000
0.000 0.000 7.358
ATOMIC_POSITIONS angstrom
Pr 1.305 0.917 0.908
Pr 1.305 0.940 4.614
Pr 1.305 4.577 4.614
Pr 1.305 4.600 0.908
Pr 1.305 8.275 4.608
Pr 3.914 2.758 2.750
Pr 3.914 6.433 6.450
Pr 3.914 6.456 2.744
Pr 3.914 10.093 2.744
Pr 3.914 10.117 6.450
Ho 1.305 8.275 0.905
Ho 3.914 2.758 6.453
! Calculated formation energy: 0.01 eV/atom
! Symmetry: Pmmn, No. 59



3.
! RbSnHg (PBE, relaxed); values from VASP
&SYSTEM
  ibrav = 0, nat = 3, ntyp = 3
/
ATOMIC_SPECIES
Rb 85.47 Rb.upf
Sn 118.71 Sn.upf
Hg 200.59 Hg.upf
CELL_PARAMETERS angstrom
5.270 0.000 0.000
-2.635 4.564 0.000
0.000 0.000 4.350
ATOMIC_POSITIONS angstrom
Rb 0.000 0.000 0.000
Sn 0.000 3.042 2.175
Hg 2.635 1.521 2.175
! Calculated formation energy: -0.15 eV/atom
! E above lowest polymorph: 28 meV/atom
! Symmetry: P-6m2, No. 187



4.
! TbErAlHg (PBE, relaxed); values from VASP
&SYSTEM
  ibrav = 0, nat = 4, ntyp = 4
/
ATOMIC_SPECIES
Tb 158.93 Tb.upf
Er 167.26 Er.upf
Al 26.98 Al.upf
Hg 200.59 Hg.upf
CELL_PARAMETERS angstrom
3.607 0.000 0.000
0.000 3.607 0.000
0.000 0.000 7.520
ATOMIC_POSITIONS angstrom
Tb 0.000 0.000 0.000
Er 0.000 0.000 3.906
Al 1.804 1.804 5.688
Hg 1.804 1.804 2.025
! Calculated formation energy: -0.43 eV/atom
! E above lowest polymorph: 0 meV/atom
! Symmetry: P4mm, No. 99



5.
! PmH6IrPd2 (PBE, relaxed); values from VASP
&SYSTEM
  ibrav = 0, nat = 20, ntyp = 4
/
ATOMIC_SPECIES
Pm 145.00 Pm.upf
H 1.01 H.upf
Ir 192.22 Ir.upf
Pd 106.42 Pd.upf
CELL_PARAMETERS angstrom
4.682 0.000 0.000
0.000 8.913 0.000
0.000 0.000 4.640
ATOMIC_POSITIONS angstrom
Pm 0.000 0.000 0.000
Pm 2.341 4.457 2.320
H 0.606 3.246 1.124
H 0.606 3.246 3.516
H 0.819 0.767 2.320
H 1.522 5.224 0.000
H 1.735 7.703 1.196
H 1.735 7.703 3.444
H 2.947 1.210 1.196
H 2.947 1.210 3.444
H 3.160 3.689 0.000
H 3.863 8.146 2.320
H 4.076 5.667 1.124
H 4.076 5.667 3.516
Ir 0.000 4.457 0.000
Ir 2.341 0.000 2.320
Pd 0.348 6.681 2.320
Pd 1.993 2.224 0.000
Pd 2.689 6.689 0.000
Pd 4.334 2.232 2.320
! VASP energy: -4.746 eV/atom
! Symmetry: Pnnm, No. 58



6.
! ZrMnVTe2 (PBE, relaxed); values from VASP
&SYSTEM
  ibrav = 0, nat = 5, ntyp = 4
/
ATOMIC_SPECIES
Zr 91.22 Zr.upf
Mn 54.94 Mn.upf
V 50.94 V.upf
Te 127.60 Te.upf
CELL_PARAMETERS angstrom
5.553 0.000 0.000
0.000 5.553 0.000
0.000 0.000 4.878
ATOMIC_POSITIONS angstrom
Zr 0.000 0.000 0.000
Mn 2.776 2.776 2.439
V 0.000 0.000 2.439
Te 0.000 2.776 0.000
Te 2.776 0.000 0.000
! Formation energy from raw total energies: 4.3 eV/f.u.
! Symmetry: P4/mmm, No. 123



7.
! Na2Sm3CuSe6 (PBE, relaxed); values from VASP
&SYSTEM
  ibrav = 0, nat = 12, ntyp = 4
/
ATOMIC_SPECIES
Na 22.99 Na.upf
Sm 150.36 Sm.upf
Cu 63.55 Cu.upf
Se 78.96 Se.upf
CELL_PARAMETERS angstrom
3.640 -6.310 0.000
3.640 6.310 0.000
-2.407 0.000 6.672
ATOMIC_POSITIONS angstrom
Na 3.640 4.211 0.000
Na 3.640 -4.211 0.000
Sm -1.203 0.000 3.336
Sm 2.436 2.111 3.336
Sm 2.436 -2.111 3.336
Cu 3.640 0.000 0.000
Se 0.045 2.045 4.992
Se 1.296 0.000 1.676
Se 0.045 -2.045 4.992
Se 4.827 2.045 1.681
Se 3.576 0.000 4.996
Se 4.827 -2.045 1.681
! Formation energy from raw total energies: -17.4 eV/f.u.
! Symmetry: C2/m, No. 12



8.
! TaAgRu (PBE, relaxed); values from VASP
&SYSTEM
  ibrav = 0, nat = 3, ntyp = 3
/
ATOMIC_SPECIES
Ta 180.95 Ta.upf
Ag 107.87 Ag.upf
Ru 101.07 Ru.upf
CELL_PARAMETERS angstrom
0.000 3.075 3.075
3.075 0.000 3.075
3.075 3.075 0.000
ATOMIC_POSITIONS angstrom
Ta 0.000 0.000 0.000
Ag 3.075 3.075 3.075
Ru 1.538 1.538 1.538
! Calculated formation energy: 0.55 eV/atom
! E above lowest polymorph: 502 meV/atom
! Symmetry: F-43m, No. 216